(1)
Entry from Alexandria via LeMat-Bulk: a relaxed structure of Dy4Ho9Hg11 (PBE).

abc: 3.5422 13.6707 13.6707
angles: 109.71 90.00 90.00
With the nearest neighbours (Å) after each atom.
Element x y z (fractional)
Dy (0.5000, 0.5768, 0.7477)  6 Hg 3.18-3.26, 3 Ho 3.19-3.53, 2 Dy 3.54
Dy (0.5000, 0.4232, 0.2523)  6 Hg 3.18-3.26, 3 Ho 3.19-3.53, 2 Dy 3.54
Dy (0.5000, 0.7477, 0.5768)  6 Hg 3.18-3.26, 3 Ho 3.19-3.53, 2 Dy 3.54
Dy (0.5000, 0.2523, 0.4232)  6 Hg 3.18-3.26, 3 Ho 3.19-3.53, 2 Dy 3.54
Ho (0.5000, 0.6208, 0.1489)  8 Hg 3.18-3.48, 1 Dy 3.45, 2 Ho 3.54
Ho (0.5000, 0.3792, 0.8511)  8 Hg 3.18-3.48, 1 Dy 3.45, 2 Ho 3.54
Ho (0.5000, 0.1489, 0.6208)  8 Hg 3.18-3.48, 1 Dy 3.45, 2 Ho 3.54
Ho (0.5000, 0.8511, 0.3792)  8 Hg 3.18-3.48, 1 Dy 3.45, 2 Ho 3.54
Ho (0.5000, 0.7959, 0.9769)  8 Hg 3.18-3.25, 1 Dy 3.53, 2 Ho 3.54
Ho (0.5000, 0.2041, 0.0231)  8 Hg 3.18-3.25, 1 Dy 3.53, 2 Ho 3.54
Ho (0.5000, 0.9769, 0.7959)  8 Hg 3.18-3.25, 1 Dy 3.53, 2 Ho 3.54
Ho (0.5000, 0.0231, 0.2041)  8 Hg 3.18-3.25, 1 Dy 3.53, 2 Ho 3.54
Ho (0.5000, 0.5000, 0.5000)  4 Dy 3.19, 4 Hg 3.39, 2 Ho 3.54
Hg (0.0000, 0.5880, 0.9453)  2 Dy 3.19, 6 Ho 3.20-3.25, 3 Hg 3.23-3.54
Hg (0.0000, 0.4120, 0.0547)  2 Dy 3.19, 6 Ho 3.20-3.25, 3 Hg 3.23-3.54
Hg (0.0000, 0.9453, 0.5880)  2 Dy 3.19, 6 Ho 3.20-3.25, 3 Hg 3.23-3.54
Hg (0.0000, 0.0547, 0.4120)  2 Dy 3.19, 6 Ho 3.20-3.25, 3 Hg 3.23-3.54
Hg (0.0000, 0.6294, 0.3706)  4 Dy 3.26, 6 Ho 3.39-3.48, 2 Hg 3.54
Hg (0.0000, 0.3706, 0.6294)  4 Dy 3.26, 6 Ho 3.39-3.48, 2 Hg 3.54
Hg (0.0000, 0.8218, 0.1782)  8 Ho 3.18-3.19, 2 Hg 3.54
Hg (0.0000, 0.1782, 0.8218)  8 Ho 3.18-3.19, 2 Hg 3.54
Hg (0.0000, 0.0000, 0.0000)  8 Ho 3.23, 4 Hg 3.49-3.54
Hg (0.0000, 0.7782, 0.7782)  4 Dy 3.18, 4 Ho 3.18, 3 Hg 3.49-3.54
Hg (0.0000, 0.2218, 0.2218)  4 Dy 3.18, 4 Ho 3.18, 3 Hg 3.49-3.54

Computed properties:
Symmetry: Cmmm
Energy of formation (eV/f.u.): -8.9



(2)
Entry from Alexandria via LeMat-Bulk: a relaxed structure of DyHo2Hg4 (PBE).

abc: 5.0790 5.0790 9.1245
angles: 73.84 73.84 60.00
With the nearest neighbours (Å) after each atom.
Element x y z (fractional)
Hg (0.8734, 0.8734, 0.3799)  4 Ho 3.06-3.09, 1 Dy 3.28
Hg (0.1266, 0.1266, 0.6201)  4 Ho 3.06-3.09, 1 Dy 3.28
Hg (0.6239, 0.6239, 0.1282)  3 Dy 3.13, 4 Ho 3.17-3.41
Hg (0.3761, 0.3761, 0.8718)  3 Dy 3.13, 4 Ho 3.17-3.41
Ho (0.7555, 0.7555, 0.7336)  8 Hg 3.06-3.41
Ho (0.2445, 0.2445, 0.2664)  8 Hg 3.06-3.41
Dy (0.0000, 0.0000, 0.0000)  8 Hg 3.13-3.28

Computed properties:
Symmetry: R-3m
Polymorph energy (0 for the lowest one) (meV/atom): 0
Energy of formation (eV/f.u.): -2.3



(3)
Entry from Alexandria via LeMat-Bulk: a relaxed structure of Dy3Ho2Hg7 (PBE).

abc: 5.4290 5.1669 11.7181
angles: 102.74 90.00 90.00
With the nearest neighbours (Å) after each atom.
Element x y z (fractional)
Dy (0.5000, 0.5000, 0.0000)  8 Hg 3.22
Dy (0.5000, 0.6659, 0.3318)  4 Hg 3.00-3.19
Dy (0.5000, 0.3341, 0.6682)  4 Hg 3.00-3.19
Ho (0.0000, 0.8559, 0.7118)  8 Hg 3.02-3.29
Ho (0.0000, 0.1441, 0.2882)  8 Hg 3.02-3.29
Hg (0.0000, 0.4246, 0.8493)  2 Ho 3.02, 3 Hg 3.11-3.35, 2 Dy 3.22
Hg (0.0000, 0.7221, 0.4442)  2 Hg 2.88, 2 Dy 3.00, 3 Ho 3.06-3.14
Hg (0.0000, 0.0000, 0.0000)  8 Hg 3.11-3.33, 2 Ho 3.29
Hg (0.0000, 0.5754, 0.1507)  2 Ho 3.02, 3 Hg 3.11-3.35, 2 Dy 3.22
Hg (0.5000, 0.0844, 0.1687)  2 Ho 3.04, 4 Dy 3.19-3.22, 2 Hg 3.33
Hg (0.5000, 0.9156, 0.8313)  2 Ho 3.04, 4 Dy 3.19-3.22, 2 Hg 3.33
Hg (0.0000, 0.2779, 0.5558)  2 Hg 2.88, 2 Dy 3.00, 3 Ho 3.06-3.14

Computed properties:
Symmetry: Cmmm
Energy of formation (eV/f.u.): -3.6



(4)
Entry from Alexandria via LeMat-Bulk: a relaxed structure of Dy2HoHg (PBE).

abc: 4.6040 6.4181 8.5768
angles: 90.00 90.00 111.02
With the nearest neighbours (Å) after each atom.
Element x y z (fractional)
Dy (0.3618, 0.7236, 0.5476)  3 Hg 2.99-3.10
Dy (0.6382, 0.2764, 0.4524)  3 Hg 2.99-3.10
Dy (0.6382, 0.2764, 0.0476)  3 Hg 2.99-3.10
Dy (0.3618, 0.7236, 0.9524)  3 Hg 2.99-3.10
Ho (0.9466, 0.8932, 0.2500)  3 Hg 3.43-3.45, 8 Dy 3.58-3.69
Ho (0.0534, 0.1068, 0.7500)  3 Hg 3.43-3.45, 8 Dy 3.58-3.69
Hg (0.2327, 0.4654, 0.2500)  6 Dy 2.99-3.10
Hg (0.7673, 0.5346, 0.7500)  6 Dy 2.99-3.10

Computed properties:
Symmetry: Cmcm
Polymorph energy (0 for the lowest one) (meV/atom): 76
Energy of formation (eV/f.u.): -0.6



(5)
Entry from Alexandria via LeMat-Bulk: a relaxed structure of Dy3HoHg12 (PBE).

abc: 4.5113 4.5113 19.2193
angles: 90.00 90.00 90.00
With the nearest neighbours (Å) after each atom.
Element x y z (fractional)
Dy (0.0000, 0.0000, 0.2496)  12 Hg 3.19-3.30
Dy (0.0000, 0.0000, 0.5000)  12 Hg 3.19-3.30
Dy (0.0000, 0.0000, 0.7504)  12 Hg 3.19-3.30
Ho (0.0000, 0.0000, 0.0000)  12 Hg 3.19-3.29
Hg (0.5000, 0.5000, 0.0000)  4 Ho 3.19, 8 Hg 3.29
Hg (0.5000, 0.5000, 0.2497)  4 Dy 3.19, 8 Hg 3.30
Hg (0.5000, 0.5000, 0.5000)  4 Dy 3.19, 8 Hg 3.30
Hg (0.5000, 0.5000, 0.7503)  4 Dy 3.19, 8 Hg 3.30
Hg (0.5000, 0.0000, 0.1246)  8 Hg 3.19-3.30, 2 Ho 3.29, 2 Dy 3.30
Hg (0.5000, 0.0000, 0.3748)  8 Hg 3.19-3.30, 4 Dy 3.30
Hg (0.5000, 0.0000, 0.6252)  8 Hg 3.19-3.30, 4 Dy 3.30
Hg (0.5000, 0.0000, 0.8754)  8 Hg 3.19-3.30, 2 Ho 3.29, 2 Dy 3.30
Hg (0.0000, 0.5000, 0.1246)  8 Hg 3.19-3.30, 2 Ho 3.29, 2 Dy 3.30
Hg (0.0000, 0.5000, 0.3748)  8 Hg 3.19-3.30, 4 Dy 3.30
Hg (0.0000, 0.5000, 0.6252)  8 Hg 3.19-3.30, 4 Dy 3.30
Hg (0.0000, 0.5000, 0.8754)  8 Hg 3.19-3.30, 2 Ho 3.29, 2 Dy 3.30

Computed properties:
Symmetry: P4/mmm
Energy of formation (eV/f.u.): -5.0



(6)
Entry from Alexandria via LeMat-Bulk: a relaxed structure of Dy2Ho3Hg6 (PBE).

abc: 5.0666 5.0666 13.7162
angles: 100.64 100.64 90.00
With the nearest neighbours (Å) after each atom.
Element x y z (fractional)
Dy (0.3698, 0.3698, 0.7396)  5 Hg 3.05-3.08
Dy (0.6302, 0.6302, 0.2604)  5 Hg 3.05-3.08
Ho (0.0000, 0.0000, 0.0000)  8 Hg 3.08
Ho (0.8630, 0.8630, 0.7260)  5 Hg 3.09-3.15
Ho (0.1370, 0.1370, 0.2740)  5 Hg 3.09-3.15
Hg (0.0661, 0.5661, 0.1323)  2 Dy 3.05, 4 Ho 3.08-3.15
Hg (0.5661, 0.0661, 0.1323)  2 Dy 3.05, 4 Ho 3.08-3.15
Hg (0.9339, 0.4339, 0.8677)  2 Dy 3.05, 4 Ho 3.08-3.15
Hg (0.4339, 0.9339, 0.8677)  2 Dy 3.05, 4 Ho 3.08-3.15
Hg (0.7464, 0.7464, 0.4928)  1 Dy 3.08, 1 Ho 3.09
Hg (0.2536, 0.2536, 0.5072)  1 Dy 3.08, 1 Ho 3.09

Computed properties:
Symmetry: I4/mmm
Energy of formation (eV/f.u.): -1.1



(7)
Entry from Alexandria via LeMat-Bulk: a relaxed structure of Dy4Ho3Hg4 (PBE).

abc: 5.1890 7.0876 9.4976
angles: 111.91 105.85 90.00
With the nearest neighbours (Å) after each atom.
Element x y z (fractional)
Dy (0.3211, 0.0848, 0.6423)  4 Hg 3.02-3.09, 1 Dy 3.35
Dy (0.6789, 0.4425, 0.3577)  4 Hg 3.02-3.09, 1 Dy 3.35
Dy (0.6789, 0.9152, 0.3577)  4 Hg 3.02-3.09, 1 Dy 3.35
Dy (0.3211, 0.5575, 0.6423)  4 Hg 3.02-3.09, 1 Dy 3.35
Ho (0.0999, 0.0999, 0.1997)  1 Ho 3.36, 4 Hg 3.43, 4 Dy 3.46
Ho (0.9001, 0.9001, 0.8003)  1 Ho 3.36, 4 Hg 3.43, 4 Dy 3.46
Ho (0.0000, 0.5000, 0.0000)  6 Hg 3.03-3.31
Hg (0.1802, 0.6802, 0.3603)  6 Dy 3.02-3.09, 1 Ho 3.03
Hg (0.8198, 0.3198, 0.6397)  6 Dy 3.02-3.09, 1 Ho 3.03
Hg (0.5000, 0.7901, 0.0000)  1 Hg 2.98, 2 Dy 3.04, 2 Ho 3.31
Hg (0.5000, 0.2099, 0.0000)  1 Hg 2.98, 2 Dy 3.04, 2 Ho 3.31

Computed properties:
Symmetry: Immm
Energy of formation (eV/f.u.): -2.6



(8)
Entry from Alexandria via LeMat-Bulk: a relaxed structure of DyHo2Hg (PBE).

abc: 4.7127 6.4029 8.4098
angles: 90.00 90.00 111.59
With the nearest neighbours (Å) after each atom.
Element x y z (fractional)
Dy (0.9466, 0.8932, 0.2500)  3 Hg 3.33-3.53, 8 Ho 3.58-3.71
Dy (0.0534, 0.1068, 0.7500)  3 Hg 3.33-3.53, 8 Ho 3.58-3.71
Ho (0.3607, 0.7213, 0.5460)  3 Hg 2.96-3.09
Ho (0.6393, 0.2787, 0.4540)  3 Hg 2.96-3.09
Ho (0.6393, 0.2787, 0.0460)  3 Hg 2.96-3.09
Ho (0.3607, 0.7213, 0.9540)  3 Hg 2.96-3.09
Hg (0.2263, 0.4525, 0.2500)  6 Ho 2.96-3.09
Hg (0.7737, 0.5475, 0.7500)  6 Ho 2.96-3.09

Computed properties:
Symmetry: Cmcm
Polymorph energy (0 for the lowest one) (meV/atom): 79
Energy of formation (eV/f.u.): -0.6



(9)
Entry from Alexandria via LeMat-Bulk: a relaxed structure of DyHo2Hg (PBE).

abc: 3.7721 5.3209 6.5469
angles: 113.95 106.74 90.00
With the nearest neighbours (Å) after each atom.
Element x y z (fractional)
Dy (0.0000, 0.5000, 0.0000)  4 Hg 3.26, 2 Ho 3.65
Ho (0.7797, 0.7796, 0.5595)  2 Hg 3.13, 4 Ho 3.33
Ho (0.2203, 0.2204, 0.4405)  2 Hg 3.13, 4 Ho 3.33
Hg (0.5000, 0.0000, 0.0000)  4 Ho 3.13, 4 Dy 3.26

Computed properties:
Symmetry: Immm
Polymorph energy (0 for the lowest one) (meV/atom): 0
Energy of formation (eV/f.u.): -0.9



(10)
Entry from Alexandria via LeMat-Bulk: a relaxed structure of Dy2HoHg3 (PBE).

abc: 5.2478 5.2478 12.9173
angles: 90.00 90.00 120.00
With the nearest neighbours (Å) after each atom.
Element x y z (fractional)
Dy (0.0000, 0.0000, 0.5000)  8 Hg 3.21-3.22
Dy (0.3333, 0.6667, 0.1672)  8 Hg 3.21-3.24
Dy (0.6667, 0.3333, 0.8328)  8 Hg 3.21-3.24
Dy (0.0000, 0.0000, 0.0000)  8 Hg 3.22-3.24
Ho (0.3333, 0.6667, 0.6668)  8 Hg 3.21-3.23
Ho (0.6667, 0.3333, 0.3332)  8 Hg 3.21-3.23
Hg (0.3333, 0.6667, 0.4169)  4 Dy 3.21-3.23, 4 Ho 3.22-3.23
Hg (0.6667, 0.3333, 0.0835)  7 Dy 3.22-3.24, 1 Ho 3.23
Hg (0.0000, 0.0000, 0.7495)  3 Ho 3.21, 5 Dy 3.21-3.24
Hg (0.0000, 0.0000, 0.2505)  3 Ho 3.21, 5 Dy 3.21-3.24
Hg (0.3333, 0.6667, 0.9165)  7 Dy 3.22-3.24, 1 Ho 3.23
Hg (0.6667, 0.3333, 0.5831)  4 Dy 3.21-3.23, 4 Ho 3.22-3.23

Computed properties:
Symmetry: P-3m1
Energy of formation (eV/f.u.): -2.9